No. 1
Here is an optimized crystal structure of Li5Ac2Rh4 from Alexandria. Energies are from PBE.

Properties
The value obtained for the energy relative to the elements is -0.2512 eV/atom. The total energy is -50.0 eV for the cell shown.

Unit cell a=6.8639 b=6.8639 c=7.8205 alpha=120.68 beta=120.68 gamma=45.77
With the nearest neighbours (Å) after each atom.
Positions (direct):
1 Li 0.0000 0.0000 0.0000  4 Li 2.78, 2 Rh 2.80
2 Li 0.2125 0.6970 0.2624  4 Rh 2.55-2.70, 3 Li 2.59-2.78
3 Li 0.3030 0.7875 0.7376  4 Rh 2.55-2.70, 3 Li 2.59-2.78
4 Li 0.6970 0.2125 0.2624  4 Rh 2.55-2.70, 3 Li 2.59-2.78
5 Li 0.7875 0.3030 0.7376  4 Rh 2.55-2.70, 3 Li 2.59-2.78
6 Ac 0.2715 0.2715 0.7028  4 Rh 2.84-3.02
7 Ac 0.7285 0.7285 0.2972  4 Rh 2.84-3.02
8 Rh 0.2306 0.2306 0.0277  5 Li 2.58-2.80, 3 Rh 2.69-2.79, 1 Ac 2.86
9 Rh 0.3611 0.3611 0.4404  4 Li 2.55-2.61, 1 Rh 2.69, 1 Ac 2.84
10 Rh 0.6389 0.6389 0.5596  4 Li 2.55-2.61, 1 Rh 2.69, 1 Ac 2.84
11 Rh 0.7694 0.7694 0.9723  5 Li 2.58-2.80, 3 Rh 2.69-2.79, 1 Ac 2.86


No. 2
Here is an optimized crystal structure of Na2Pm3TmTe6 from Alexandria. Energies are from PBE.

Properties
The uncorrected formation energy is -1331 meV per atom. The total energy is -56.2 eV for the cell shown.

Unit cell a=7.6931 b=7.6931 c=7.7647 alpha=99.47 beta=99.47 gamma=119.94
With the nearest neighbours (Å) after each atom.
Positions (direct):
1 Na 0.1650 0.8350 0.0000  6 Te 3.14-3.16
2 Na 0.8350 0.1650 0.0000  6 Te 3.14-3.16
3 Pm 0.0000 0.0000 0.5000  6 Te 3.16-3.21
4 Pm 0.3290 0.6710 0.5000  6 Te 3.16-3.19
5 Pm 0.6710 0.3290 0.5000  6 Te 3.16-3.19
6 Tm 0.5000 0.5000 0.0000  6 Te 3.08-3.09
7 Te 0.0932 0.4194 0.7574  1 Tm 3.08, 2 Na 3.14-3.16, 3 Pm 3.16-3.19
8 Te 0.2583 0.2583 0.2487  1 Tm 3.09, 2 Na 3.16, 3 Pm 3.17-3.21
9 Te 0.4194 0.0932 0.7574  1 Tm 3.08, 2 Na 3.14-3.16, 3 Pm 3.16-3.19
10 Te 0.5806 0.9068 0.2426  1 Tm 3.08, 2 Na 3.14-3.16, 3 Pm 3.16-3.19
11 Te 0.7417 0.7417 0.7513  1 Tm 3.09, 2 Na 3.16, 3 Pm 3.17-3.21
12 Te 0.9068 0.5806 0.2426  1 Tm 3.08, 2 Na 3.14-3.16, 3 Pm 3.16-3.19